one) The following is a DFT calculation (PBE) of an optimized crystal structure of Y4RuPt.

```
data_Y4RuPt
_cell_length_a 8.305
_cell_length_b 8.305
_cell_length_c 8.305
_cell_angle_alpha 90.00
_cell_angle_beta 90.00
_cell_angle_gamma 90.00
_symmetry_space_group_name_H-M 'F -4 3 m'
_symmetry_Int_Tables_number 216
_symmetry_space_group_name_Hall 'F -4 2 3'
loop_
_atom_site_label
_atom_site_fract_x
_atom_site_fract_y
_atom_site_fract_z
Y1 0.125 0.125 0.125
Ru1 0.000 0.000 0.500
Pt1 0.250 0.250 0.750
```

## Properties
- Size of the total moment: 0.0000 μB/atom


two) The following is a DFT calculation (PBE) of an optimized crystal structure of Y4RuPt.

```
data_Y4RuPt
_cell_length_a 6.910
_cell_length_b 6.883
_cell_length_c 6.878
_cell_angle_alpha 90.00
_cell_angle_beta 91.43
_cell_angle_gamma 90.00
_symmetry_space_group_name_H-M 'P 1 21/c 1'
_symmetry_Int_Tables_number 14
_symmetry_space_group_name_Hall '-P 2ybc'
loop_
_atom_site_label
_atom_site_fract_x
_atom_site_fract_y
_atom_site_fract_z
Y1 0.160 0.165 0.172
Y2 0.328 0.663 0.157
Ru1 0.000 0.000 0.500
Pt1 0.500 0.000 0.000
```

## Properties
- Size of the total moment: 0.0000 μB/atom


two) is preferred energetically. Next in line: 1.215 eV/atom higher.


one) The following is a DFT calculation (PBE) of an optimized crystal structure of Y3RuPt.

```
data_Y3RuPt
_cell_length_a 8.632
_cell_length_b 7.314
_cell_length_c 8.096
_cell_angle_alpha 90.00
_cell_angle_beta 107.96
_cell_angle_gamma 90.00
_symmetry_space_group_name_H-M 'P 1 21/c 1'
_symmetry_Int_Tables_number 14
_symmetry_space_group_name_Hall '-P 2ybc'
loop_
_atom_site_label
_atom_site_fract_x
_atom_site_fract_y
_atom_site_fract_z
Y1 0.044 0.005 0.213
Y2 0.278 0.654 0.102
Y3 0.357 0.191 0.984
Ru1 0.075 0.181 0.536
Pt1 0.409 0.537 0.805
```

## Properties
- Size of the total moment: 0.0000 μB/atom


two) The following is a DFT calculation (PBE) of an optimized crystal structure of Y3RuPt.

```
data_Y3RuPt
_cell_length_a 5.209
_cell_length_b 5.209
_cell_length_c 5.209
_cell_angle_alpha 90.00
_cell_angle_beta 90.00
_cell_angle_gamma 90.00
_symmetry_space_group_name_H-M 'P m -3 m'
_symmetry_Int_Tables_number 221
_symmetry_space_group_name_Hall '-P 4 2 3'
loop_
_atom_site_label
_atom_site_fract_x
_atom_site_fract_y
_atom_site_fract_z
Y1 0.000 0.000 0.500
Ru1 0.000 0.000 0.000
Pt1 0.500 0.500 0.500
```

## Properties
- Size of the total moment: 0.0000 μB/atom


one) is preferred energetically. Next in line: 0.578 eV/atom higher.


one) The following is a DFT calculation (PBE) of an optimized crystal structure of Zn2RuPt2.

```
data_Zn2RuPt2
_cell_length_a 3.759
_cell_length_b 3.759
_cell_length_c 11.545
_cell_angle_alpha 90.00
_cell_angle_beta 90.00
_cell_angle_gamma 90.00
_symmetry_space_group_name_H-M 'I 4/m m m'
_symmetry_Int_Tables_number 139
_symmetry_space_group_name_Hall '-I 4 2'
loop_
_atom_site_label
_atom_site_fract_x
_atom_site_fract_y
_atom_site_fract_z
Zn1 0.000 0.000 0.100
Ru1 0.000 0.000 0.500
Pt1 0.000 0.500 0.250
```

## Properties
- Size of the total moment: 0.3493 μB/atom


two) The following is a DFT calculation (PBE) of an optimized crystal structure of Zn2RuPt2.

```
data_Zn2RuPt2
_cell_length_a 7.393
_cell_length_b 7.393
_cell_length_c 2.818
_cell_angle_alpha 90.00
_cell_angle_beta 90.00
_cell_angle_gamma 90.00
_symmetry_space_group_name_H-M 'P 4/m b m'
_symmetry_Int_Tables_number 127
_symmetry_space_group_name_Hall '-P 4 2ab'
loop_
_atom_site_label
_atom_site_fract_x
_atom_site_fract_y
_atom_site_fract_z
Zn1 0.163 0.337 0.000
Ru1 0.000 0.000 0.500
Pt1 0.136 0.636 0.500
```

## Properties
- Size of the total moment: 0.4172 μB/atom


three) The following is a DFT calculation (PBE) of an optimized crystal structure of Zn2RuPt2.

```
data_Zn2RuPt2
_cell_length_a 7.298
_cell_length_b 7.298
_cell_length_c 2.793
_cell_angle_alpha 90.00
_cell_angle_beta 90.00
_cell_angle_gamma 90.00
_symmetry_space_group_name_H-M 'P 4/m b m'
_symmetry_Int_Tables_number 127
_symmetry_space_group_name_Hall '-P 4 2ab'
loop_
_atom_site_label
_atom_site_fract_x
_atom_site_fract_y
_atom_site_fract_z
Zn1 0.126 0.374 0.000
Ru1 0.000 0.000 0.000
Pt1 0.173 0.673 0.500
```

## Properties
- Size of the total moment: 0.0044 μB/atom


three) is preferred energetically. Next in line: 0.065 eV/atom higher.


one) The following is a DFT calculation (PBE) of an optimized crystal structure of PtS4.

```
data_PtS4
_cell_length_a 4.679
_cell_length_b 4.679
_cell_length_c 4.679
_cell_angle_alpha 90.00
_cell_angle_beta 90.00
_cell_angle_gamma 90.00
_symmetry_space_group_name_H-M 'P m -3 m'
_symmetry_Int_Tables_number 221
_symmetry_space_group_name_Hall '-P 4 2 3'
loop_
_atom_site_label
_atom_site_fract_x
_atom_site_fract_y
_atom_site_fract_z
Pt1 0.000 0.000 0.000
S1 0.000 0.000 0.500
S2 0.500 0.500 0.500
```

## Properties
- Size of the total moment: 0.0000 μB/atom


two) The following is a DFT calculation (PBE) of an optimized crystal structure of PtS4.

```
data_PtS4
_cell_length_a 3.589
_cell_length_b 4.884
_cell_length_c 7.528
_cell_angle_alpha 92.41
_cell_angle_beta 90.95
_cell_angle_gamma 107.58
_symmetry_space_group_name_H-M 'P -1'
_symmetry_Int_Tables_number 2
_symmetry_space_group_name_Hall '-P 1'
loop_
_atom_site_label
_atom_site_fract_x
_atom_site_fract_y
_atom_site_fract_z
Pt1 0.000 0.000 0.000
S1 0.376 0.852 0.598
S2 0.455 0.869 0.180
```

## Properties
- Size of the total moment: 0.0000 μB/atom


two) is preferred energetically. Next in line: 0.963 eV/atom higher.


one) The following is a DFT calculation (PBE) of an optimized crystal structure of Sb2TePtS.

```
data_Sb2TePtS
_cell_length_a 5.215
_cell_length_b 5.215
_cell_length_c 5.364
_cell_angle_alpha 90.00
_cell_angle_beta 90.00
_cell_angle_gamma 90.00
_symmetry_space_group_name_H-M 'P 4/m m m'
_symmetry_Int_Tables_number 123
_symmetry_space_group_name_Hall '-P 4 2'
loop_
_atom_site_label
_atom_site_fract_x
_atom_site_fract_y
_atom_site_fract_z
Sb1 0.000 0.500 0.000
Te1 0.000 0.000 0.500
Pt1 0.000 0.000 0.000
S1 0.500 0.500 0.500
```

## Properties
- Size of the total moment: 0.0000 μB/atom


two) The following is a DFT calculation (PBE) of an optimized crystal structure of Sb2TePtS.

```
data_Sb2TePtS
_cell_length_a 5.127
_cell_length_b 5.127
_cell_length_c 5.052
_cell_angle_alpha 90.00
_cell_angle_beta 90.00
_cell_angle_gamma 90.00
_symmetry_space_group_name_H-M 'P 4/m m m'
_symmetry_Int_Tables_number 123
_symmetry_space_group_name_Hall '-P 4 2'
loop_
_atom_site_label
_atom_site_fract_x
_atom_site_fract_y
_atom_site_fract_z
Sb1 0.000 0.500 0.000
Te1 0.000 0.000 0.500
Pt1 0.500 0.500 0.500
S1 0.000 0.000 0.000
```

## Properties
- Size of the total moment: 0.0000 μB/atom


one) is preferred energetically. Next in line: 0.242 eV/atom higher.


one) The following is a DFT calculation (PBE) of an optimized crystal structure of ScPtS.

```
data_ScPtS
_cell_length_a 3.411
_cell_length_b 3.600
_cell_length_c 16.955
_cell_angle_alpha 90.00
_cell_angle_beta 90.00
_cell_angle_gamma 90.00
_symmetry_space_group_name_H-M 'I m m 2'
_symmetry_Int_Tables_number 44
_symmetry_space_group_name_Hall 'I 2 -2'
loop_
_atom_site_label
_atom_site_fract_x
_atom_site_fract_y
_atom_site_fract_z
Sc1 0.000 0.000 0.000
Sc2 0.000 0.500 0.195
Pt1 0.000 0.000 0.421
Pt2 0.000 0.000 0.840
S1 0.000 0.000 0.571
S2 0.000 0.500 0.739
```

## Properties
- Size of the total moment: 0.0000 μB/atom


two) The following is a DFT calculation (PBE) of an optimized crystal structure of ScPtS.

```
data_ScPtS
_cell_length_a 9.586
_cell_length_b 3.635
_cell_length_c 6.471
_cell_angle_alpha 90.00
_cell_angle_beta 104.46
_cell_angle_gamma 90.00
_symmetry_space_group_name_H-M 'C 1 m 1'
_symmetry_Int_Tables_number 8
_symmetry_space_group_name_Hall 'C -2y'
loop_
_atom_site_label
_atom_site_fract_x
_atom_site_fract_y
_atom_site_fract_z
Sc1 0.000 0.000 0.000
Sc2 0.170 0.000 0.545
Pt1 0.242 0.500 0.223
Pt2 0.470 0.000 0.289
S1 0.152 0.500 0.855
S2 0.386 0.500 0.576
```

## Properties
- Size of the total moment: 0.0000 μB/atom


two) is preferred energetically. Next in line: 0.042 eV/atom higher.


one) The following is a DFT calculation (PBE) of an optimized crystal structure of ScPtS.

```
data_ScPtS
_cell_length_a 5.227
_cell_length_b 5.212
_cell_length_c 8.213
_cell_angle_alpha 90.00
_cell_angle_beta 104.28
_cell_angle_gamma 90.00
_symmetry_space_group_name_H-M 'C 1 2 1'
_symmetry_Int_Tables_number 5
_symmetry_space_group_name_Hall 'C 2y'
loop_
_atom_site_label
_atom_site_fract_x
_atom_site_fract_y
_atom_site_fract_z
Sc1 0.169 0.000 0.291
Pt1 0.247 0.115 0.981
S1 0.197 0.504 0.365
```

## Properties
- Size of the total moment: 0.0000 μB/atom


two) The following is a DFT calculation (PBE) of an optimized crystal structure of ScPtS.

```
data_ScPtS
_cell_length_a 9.149
_cell_length_b 3.482
_cell_length_c 8.039
_cell_angle_alpha 90.00
_cell_angle_beta 117.64
_cell_angle_gamma 90.00
_symmetry_space_group_name_H-M 'C 1 m 1'
_symmetry_Int_Tables_number 8
_symmetry_space_group_name_Hall 'C -2y'
loop_
_atom_site_label
_atom_site_fract_x
_atom_site_fract_y
_atom_site_fract_z
Sc1 0.000 0.000 0.000
Sc2 0.116 0.000 0.622
Pt1 0.011 0.500 0.329
Pt2 0.240 0.000 0.355
S1 0.286 0.000 0.991
S2 0.449 0.000 0.730
```

## Properties
- Size of the total moment: 0.0000 μB/atom


one) is preferred energetically. Next in line: 0.192 eV/atom higher.


one) The following is a DFT calculation (PBE) of an optimized crystal structure of ScPtS.

```
data_ScPtS
_cell_length_a 3.491
_cell_length_b 3.491
_cell_length_c 8.913
_cell_angle_alpha 90.00
_cell_angle_beta 90.00
_cell_angle_gamma 90.00
_symmetry_space_group_name_H-M 'P 4/n m m'
_symmetry_Int_Tables_number 129
loop_
_symmetry_equiv_pos_as_xyz
'x,y,z'
'-x,-y,-z'
'-y+1/2,x,z'
'y+1/2,-x,-z'
'-x+1/2,-y+1/2,z'
'x+1/2,y+1/2,-z'
'y,-x+1/2,z'
'-y,x+1/2,-z'
'x+1/2,-y,-z'
'-x+1/2,y,z'
'-y,-x,-z'
'y,x,z'
'-x,y+1/2,-z'
'x,-y+1/2,z'
'y+1/2,x+1/2,-z'
'-y+1/2,-x+1/2,z'
loop_
_atom_site_label
_atom_site_fract_x
_atom_site_fract_y
_atom_site_fract_z
Sc1 0.250 0.250 0.249
Pt1 0.250 0.250 0.926
S1 0.250 0.250 0.648
```

## Properties
- Size of the total moment: 0.0000 μB/atom


two) The following is a DFT calculation (PBE) of an optimized crystal structure of ScPtS.

```
data_ScPtS
_cell_length_a 3.319
_cell_length_b 3.319
_cell_length_c 5.152
_cell_angle_alpha 90.00
_cell_angle_beta 90.00
_cell_angle_gamma 90.00
_symmetry_space_group_name_H-M 'P 4 m m'
_symmetry_Int_Tables_number 99
_symmetry_space_group_name_Hall 'P 4 -2'
loop_
_atom_site_label
_atom_site_fract_x
_atom_site_fract_y
_atom_site_fract_z
Sc1 0.000 0.000 0.000
Pt1 0.500 0.500 0.308
S1 0.500 0.500 0.775
```

## Properties
- Size of the total moment: 0.0000 μB/atom


one) is preferred energetically. Next in line: 0.184 eV/atom higher.